The following is a DFT calculation (PBE with a Hubbard U) of crystalline Rb5GdMo4O16 at its relaxed geometry.

abc: 6.2503 8.1774 10.0965
angles: 73.68 90.00 90.00
Last column: nearest neighbours and their distance in Å.
Element x y z (fractional)
Rb 0.0000 0.4154 0.1893  5 O 2.78-3.08
O 0.2711 0.2983 0.9998  1 Mo 1.79
O 0.0000 0.0240 0.3434  1 Mo 1.78
Rb 0.0000 0.0000 0.0000  6 O 2.94-2.97
Rb 0.5000 0.8539 0.7101  2 O 2.73-3.05
O 0.5000 0.8997 0.1545  1 Mo 1.77
O 0.0000 0.9760 0.6566  1 Mo 1.78
O 0.5000 0.5268 0.2649  1 Mo 1.86
O 0.5000 0.1003 0.8455  1 Mo 1.77
Rb 0.5000 0.1461 0.2899  2 O 2.73-3.05
Mo 0.5000 0.7082 0.1050  4 O 1.77-1.86
O 0.2432 0.7106 0.5014  1 Mo 1.84
Mo 0.0000 0.2032 0.5957  4 O 1.75-1.84
O 0.7289 0.2983 0.9998  1 Mo 1.79
O 0.7568 0.7106 0.5014  1 Mo 1.84
O 0.0000 0.2785 0.7420  1 Mo 1.75
Mo 0.0000 0.7968 0.4043  4 O 1.75-1.84
O 0.2432 0.2894 0.4986  1 Mo 1.84
Mo 0.5000 0.2918 0.8950  4 O 1.77-1.86
O 0.0000 0.7215 0.2580  1 Mo 1.75
Gd 0.5000 0.5000 0.5000  6 O 2.32-2.36
O 0.2711 0.7017 0.0002  1 Mo 1.79
O 0.7568 0.2894 0.4986  1 Mo 1.84
O 0.7289 0.7017 0.0002  1 Mo 1.79
Rb 0.0000 0.5846 0.8107  5 O 2.78-3.08
O 0.5000 0.4732 0.7351  1 Mo 1.86

E: -6.879 eV per atom
magnetic moment: 7.188 μB per cell
space-group type: P2/m